Record 1
First-principles (PBE) data for a geometry-optimized LaTb2DyY2 structure, as listed in Alexandria.

The structure belongs to space group Pnnm (No. 58); the cell edges are 6.6058, 17.9782 and 3.3979 Å and the angles 90.00°, 90.00° and 90.00°. The asymmetric unit holds La at (0.0000, 0.0000, 0.0000), Tb at (0.2217, 0.1847, 0.0000), Dy at (0.0000, 0.5000, 0.0000) and Y at (0.2181, 0.3509, 0.5000).

For the final energy, the calculation gives -5.00 eV per atom. As for the volume: 33.63 Å³/atom. The formation energy comes out at 0.28 eV per atom. As for the total magnetic moment: 0.001 μB/atom.

***

Record 2
First-principles (PBE) data for a geometry-optimized La2Tb2DyY2 structure, as listed in Alexandria.

The structure belongs to space group C2/m (No. 12); the cell edges are 11.4478, 5.1221 and 8.0837 Å and the angles 90.00°, 98.42° and 90.00°. The asymmetric unit holds La at (0.1412, 0.0000, 0.4253), Tb at (0.0703, 0.5000, 0.7179), Dy at (0.0000, 0.0000, 0.0000) and Y at (0.2152, 0.5000, 0.1385).

For the final energy, the calculation gives -5.21 eV per atom. As for the volume: 33.49 Å³/atom. The formation energy comes out at 0.03 eV per atom. As for the total magnetic moment: 0.000 μB/atom.

***

Record 3
First-principles (PBE) data for a geometry-optimized LaTb2Dy5Y structure, as listed in Alexandria.

The structure belongs to space group I4/mcm (No. 140); the cell edges are 8.9399, 8.9399 and 14.8978 Å and the angles 90.00°, 90.00° and 90.00°. The asymmetric unit holds La at (0.0000, 0.0000, 0.2500), Tb at (0.1131, 0.3869, 0.0000), Dy at (0.0000, 0.0000, 0.0000), Dy at (0.2057, 0.2943, 0.3689) and Y at (0.0000, 0.5000, 0.2500).

For the final energy, the calculation gives -4.57 eV per atom. As for the volume: 33.07 Å³/atom. The formation energy comes out at 0.28 eV per atom. As for the total magnetic moment: 0.000 μB/atom.

***

Record 4
First-principles (PBE) data for a geometry-optimized LaTb5DyY2 structure, as listed in Alexandria.

The structure belongs to space group Cmc2_1 (No. 36); the cell edges are 5.6609, 19.8694 and 10.6031 Å and the angles 90.00°, 90.00° and 90.00°. The asymmetric unit holds La at (0.0000, 0.0817, 0.0000), Tb at (0.0000, 0.0203, 0.2853), Tb at (0.0000, 0.1125, 0.5707), Tb at (0.0000, 0.2031, 0.2554), Tb at (0.0000, 0.2178, 0.8603), Tb at (0.0000, 0.4817, 0.5732), Dy at (0.0000, 0.2986, 0.5591), Y at (0.0000, 0.3859, 0.8677) and Y at (0.0000, 0.3886, 0.2801).

For the final energy, the calculation gives -4.91 eV per atom. As for the volume: 33.13 Å³/atom. The formation energy comes out at 0.16 eV per atom. As for the total magnetic moment: 0.000 μB/atom.